## one
This record from Alexandria describes a relaxed ErSb3Se6 crystal. The functional is PBE.

## Properties
Fermi-level density of states = 0.342 states/eV per atom
M_tot = 0.000 μB/f.u.
SG = No. 65

Cell: 8.7273 8.7273 4.0733 Å, 90.00 90.00 108.45°
Closest atoms and distances in Å follow each position.
Positions (direct):
1 Er 0.0000 0.0000 0.0000  8 Se 2.92-3.25
2 Sb 0.0000 0.5000 0.5000  6 Se 2.83-2.93
3 Sb 0.5000 0.0000 0.5000  6 Se 2.83-2.93
4 Sb 0.5000 0.5000 0.0000  4 Se 2.78
5 Se 0.1481 0.8519 0.5000  2 Er 2.92, 2 Sb 2.93
6 Se 0.1644 0.3900 0.0000  3 Sb 2.78-2.83
7 Se 0.3900 0.1644 0.0000  3 Sb 2.78-2.83
8 Se 0.6100 0.8356 0.0000  3 Sb 2.78-2.83
9 Se 0.8356 0.6100 0.0000  3 Sb 2.78-2.83
10 Se 0.8519 0.1481 0.5000  2 Er 2.92, 2 Sb 2.93


## two
This record from Alexandria describes a relaxed ErSb3Se6 crystal. The functional is PBE.

## Properties
M_tot = 0.000 μB/f.u.
SG = No. 11

Cell: 12.0561 4.0051 12.3257 Å, 90.00 104.79 90.00°
Closest atoms and distances in Å follow each position.
Positions (direct):
1 Er 0.1867 0.2500 0.0314  8 Se 2.92-3.08
2 Er 0.8133 0.7500 0.9686  8 Se 2.92-3.08
3 Sb 0.0324 0.7500 0.2896  3 Se 2.65-2.82
4 Sb 0.3376 0.2500 0.4258  3 Se 2.71
5 Sb 0.4020 0.7500 0.8483  3 Se 2.64-2.70
6 Sb 0.5980 0.2500 0.1517  3 Se 2.64-2.70
7 Sb 0.6624 0.7500 0.5742  3 Se 2.71
8 Sb 0.9676 0.2500 0.7104  3 Se 2.65-2.82
9 Se 0.0342 0.7500 0.8989  3 Er 2.92-3.00, 2 Sb 3.02
10 Se 0.1197 0.2500 0.4493  3 Sb 2.71-2.82
11 Se 0.2219 0.7500 0.2180  1 Sb 2.65
12 Se 0.2466 0.2500 0.8025  2 Sb 2.70
13 Se 0.3796 0.7500 0.0562  1 Sb 2.64
14 Se 0.3959 0.7500 0.5777  2 Sb 2.71
15 Se 0.6041 0.2500 0.4223  2 Sb 2.71
16 Se 0.6204 0.2500 0.9438  1 Sb 2.64
17 Se 0.7534 0.7500 0.1975  2 Sb 2.70
18 Se 0.7781 0.2500 0.7820  1 Sb 2.65
19 Se 0.8803 0.7500 0.5507  3 Sb 2.71-2.82
20 Se 0.9658 0.2500 0.1011  3 Er 2.92-3.00, 2 Sb 3.02


two ends up most stable, edging out the next structure by 189 meV per atom.